A relaxed BeAu3 crystal. Source: the Alexandria database, functional GGA-PBEsol.

Lattice parameters (Å, degrees): 8.6127 8.6127 8.6127 19.20 19.20 19.20
Last column: nearest neighbours and their distance in Å.
Positions (direct):
Be 0.0000 0.0000 0.0000  6 Au 2.42
Au 0.2638 0.2638 0.2638  3 Be 2.42
Au 0.5000 0.5000 0.5000  12 Au 2.87-2.97
Au 0.7362 0.7362 0.7362  3 Be 2.42

Output
For the calculated volume, the calculation gives 60.4 Å³/f.u. The value obtained for the calculated density is 16.5 g/cm³. The energy of formation comes out at -0.06 eV per atom. The value obtained for the total DFT energy (no corrections) is -4.003 eV per atom.